# ErTm3Si4 PBE optimized geometry
# D(E_F) (states/eV/f.u.): 6.0
# Total magnetic moment (μB/f.u.): 0.00
# Total DFT energy (no corrections) (eV per atom): -5.50
# Formation energy without anion corrections (eV per atom): -0.540
# SG: Immm
data_ErTm3Si4
_cell_length_a 8.506
_cell_length_b 8.506
_cell_length_c 8.506
_cell_angle_alpha 153.44
_cell_angle_beta 137.32
_cell_angle_gamma 50.97
_space_group_name_H-M_alt 'P 1'
_space_group_IT_number 1
loop_
_space_group_symop_operation_xyz
'x,y,z'
loop_
_atom_site_label
_atom_site_type_symbol
_atom_site_fract_x
_atom_site_fract_y
_atom_site_fract_z
_atom_site_occupancy
Er1 Er 0.000 0.000 0.000 1
Tm1 Tm 0.194 0.694 0.500 1
Tm2 Tm 0.500 0.500 0.000 1
Tm3 Tm 0.806 0.306 0.500 1
Si1 Si 0.181 0.868 0.313 1
Si2 Si 0.445 0.132 0.313 1
Si3 Si 0.555 0.868 0.687 1
Si4 Si 0.819 0.132 0.687 1